Entry 1:
LaGaSb2: optimized geometry, PBE.

Summary:
symmetry = P4/nmm, No. 129
crystal system = tetragonal

a b c (Å): 4.7683 4.7683 9.6839
angles (deg): 90.00 90.00 90.00
Atoms (fractional coordinates):
La: 0.5000 0.0000 0.7435
Ga: 0.0000 0.0000 0.0000
La: 0.0000 0.5000 0.2565
Sb: 0.5000 0.0000 0.1625
Ga: 0.5000 0.5000 0.0000
Sb: 0.5000 0.5000 0.5000
Sb: 0.0000 0.0000 0.5000
Sb: 0.0000 0.5000 0.8375

Entry 2:
LaGaSb2: optimized geometry, PBE.

Summary:
symmetry = R-3m, No. 166
crystal system = trigonal

a b c (Å): 5.0900 5.0900 8.4673
angles (deg): 72.51 72.51 60.00
Atoms (fractional coordinates):
La: 0.5000 0.5000 0.5000
Ga: 0.0000 0.0000 0.0000
Sb: 0.8951 0.8951 0.3148
Sb: 0.1049 0.1049 0.6852

Entry 3:
LaGaSb3: optimized geometry, PBE.

Summary:
symmetry = Pm-3m, No. 221
crystal system = cubic

a b c (Å): 5.3592 5.3592 5.3592
angles (deg): 90.00 90.00 90.00
Atoms (fractional coordinates):
Ga: 0.0000 0.0000 0.0000
Sb: 0.0000 0.0000 0.5000
La: 0.5000 0.5000 0.5000
Sb: 0.0000 0.5000 0.0000
Sb: 0.5000 0.0000 0.0000

Entry 4:
LaGa2Sb2: optimized geometry, PBE.

Summary:
symmetry = P4/mbm, No. 127
crystal system = tetragonal

a b c (Å): 7.9356 7.9356 4.0088
angles (deg): 90.00 90.00 90.00
Atoms (fractional coordinates):
La: 0.5000 0.5000 0.0000
Sb: 0.1744 0.6744 0.5000
Sb: 0.8256 0.3256 0.5000
Ga: 0.3812 0.8812 0.0000
Ga: 0.1188 0.3812 0.0000
Ga: 0.6188 0.1188 0.0000
Sb: 0.3256 0.1744 0.5000
La: 0.0000 0.0000 0.0000
Sb: 0.6744 0.8256 0.5000
Ga: 0.8812 0.6188 0.0000

Entry 5:
LaGa3Sb: optimized geometry, PBE.

Summary:
symmetry = Pm-3m, No. 221
crystal system = cubic

a b c (Å): 5.3388 5.3388 5.3388
angles (deg): 90.00 90.00 90.00
Atoms (fractional coordinates):
Ga: 0.5000 0.0000 0.0000
Ga: 0.0000 0.5000 0.0000
La: 0.5000 0.5000 0.5000
Sb: 0.0000 0.0000 0.0000
Ga: 0.0000 0.0000 0.5000

Entry 6:
LaGaSb2: optimized geometry, PBE.

Summary:
symmetry = I-42d, No. 122
crystal system = tetragonal

a b c (Å): 7.8586 7.8586 6.8262
angles (deg): 54.86 54.86 90.00
Atoms (fractional coordinates):
Sb: 0.1840 0.6250 0.2500
Sb: 0.8750 0.8160 0.7500
Sb: 0.5660 0.1250 0.2500
La: 0.0000 0.0000 0.0000
Ga: 0.5000 0.5000 0.0000
La: 0.7500 0.2500 0.5000
Sb: 0.3750 0.4340 0.7500
Ga: 0.2500 0.7500 0.5000

Respective formation energy without anion corrections values: -0.568 -0.245 -0.071 -0.385 0.235 -0.495 eV/atom.